# LaH8Os2, optimized geometry, DFT GGA-PBE
# Total magnetization in μB per cell: 0.00
# Calculated volume in Å³ per cell: 191
# Electronic total energy in eV per cell: -110.334
# N(E_F) in states/eV/f.u.: 3.14
data_LaH8Os2
_symmetry_space_group_name_H-M 'C 1 m 1'
_symmetry_Int_Tables_number 8
_cell_length_a 4.9078
_cell_length_b 8.3282
_cell_length_c 4.6793
_cell_angle_alpha 90.00
_cell_angle_beta 95.03
_cell_angle_gamma 90.00
loop_
_symmetry_equiv_pos_as_xyz
'x,y,z'
'x,-y,z'
'x+1/2,y+1/2,z'
'x+1/2,-y+1/2,z'
loop_
_atom_site_label
_atom_site_fract_x
_atom_site_fract_y
_atom_site_fract_z
La1 0.0000 0.0000 0.0000
H1 0.0208 0.5000 0.1806
H2 0.1654 0.2696 0.7974
H3 0.2521 0.2184 0.2349
H4 0.4371 0.3689 0.5262
H5 0.4436 0.0000 0.6743
Os1 0.0938 0.3414 0.4670


# LaPHOs2, optimized geometry, DFT GGA-PBE
# Total magnetization in μB per cell: 3.21
# Calculated volume in Å³ per cell: 149
# Electronic total energy in eV per cell: -21.655
# N(E_F) in states/eV/f.u.: 7.28
data_LaPHOs2
_symmetry_space_group_name_H-M 'P 4/m m m'
_symmetry_Int_Tables_number 123
_symmetry_space_group_name_Hall '-P 4 2'
_cell_length_a 5.1114
_cell_length_b 5.1114
_cell_length_c 5.6887
_cell_angle_alpha 90.00
_cell_angle_beta 90.00
_cell_angle_gamma 90.00
loop_
_atom_site_label
_atom_site_fract_x
_atom_site_fract_y
_atom_site_fract_z
La1 0.0000 0.0000 0.0000
P1 0.0000 0.0000 0.5000
H1 0.5000 0.5000 0.5000
Os1 0.0000 0.5000 0.0000


# LaPHOs, optimized geometry, DFT GGA-PBE
# Total magnetization in μB per cell: 0.00
# Calculated volume in Å³ per cell: 132
# Electronic total energy in eV per cell: -56.447
# N(E_F) in states/eV/f.u.: 1.95
data_LaPHOs
_symmetry_space_group_name_H-M 'P 4/n m m'
_symmetry_Int_Tables_number 129
_cell_length_a 4.0777
_cell_length_b 4.0777
_cell_length_c 7.9472
_cell_angle_alpha 90.00
_cell_angle_beta 90.00
_cell_angle_gamma 90.00
loop_
_symmetry_equiv_pos_as_xyz
'x,y,z'
'-x,-y,-z'
'-y+1/2,x,z'
'y+1/2,-x,-z'
'-x+1/2,-y+1/2,z'
'x+1/2,y+1/2,-z'
'y,-x+1/2,z'
'-y,x+1/2,-z'
'x+1/2,-y,-z'
'-x+1/2,y,z'
'-y,-x,-z'
'y,x,z'
'-x,y+1/2,-z'
'x,-y+1/2,z'
'y+1/2,x+1/2,-z'
'-y+1/2,-x+1/2,z'
loop_
_atom_site_label
_atom_site_fract_x
_atom_site_fract_y
_atom_site_fract_z
La1 0.2500 0.2500 0.1750
P1 0.2500 0.2500 0.6521
H1 0.2500 0.7500 0.0000
Os1 0.2500 0.7500 0.5000


# La2HOsPd, optimized geometry, DFT GGA-PBE
# Total magnetization in μB per cell: 0.00
# Calculated volume in Å³ per cell: 109
# Electronic total energy in eV per cell: -30.291
# N(E_F) in states/eV/f.u.: 3.01
data_La2HOsPd
_symmetry_space_group_name_H-M 'P 4/m m m'
_symmetry_Int_Tables_number 123
_symmetry_space_group_name_Hall '-P 4 2'
_cell_length_a 5.4969
_cell_length_b 5.4969
_cell_length_c 3.5936
_cell_angle_alpha 90.00
_cell_angle_beta 90.00
_cell_angle_gamma 90.00
loop_
_atom_site_label
_atom_site_fract_x
_atom_site_fract_y
_atom_site_fract_z
La1 0.0000 0.5000 0.0000
H1 0.0000 0.0000 0.5000
Os1 0.0000 0.0000 0.0000
Pd1 0.5000 0.5000 0.5000


# La2HOsPt, optimized geometry, DFT GGA-PBE
# Total magnetization in μB per cell: 0.00
# Calculated volume in Å³ per cell: 108
# Electronic total energy in eV per cell: -30.433
# N(E_F) in states/eV/f.u.: 3.69
data_La2HOsPt
_symmetry_space_group_name_H-M 'P 4/m m m'
_symmetry_Int_Tables_number 123
_symmetry_space_group_name_Hall '-P 4 2'
_cell_length_a 5.5410
_cell_length_b 5.5410
_cell_length_c 3.5280
_cell_angle_alpha 90.00
_cell_angle_beta 90.00
_cell_angle_gamma 90.00
loop_
_atom_site_label
_atom_site_fract_x
_atom_site_fract_y
_atom_site_fract_z
La1 0.0000 0.5000 0.0000
H1 0.0000 0.0000 0.5000
Os1 0.5000 0.5000 0.5000
Pt1 0.0000 0.0000 0.0000


# LaTl2HOs, optimized geometry, DFT GGA-PBE
# Total magnetization in μB per cell: 0.00
# Calculated volume in Å³ per cell: 150
# Electronic total energy in eV per cell: -22.666
# N(E_F) in states/eV/f.u.: 2.33
data_LaTl2HOs
_symmetry_space_group_name_H-M 'P 4/m m m'
_symmetry_Int_Tables_number 123
_symmetry_space_group_name_Hall '-P 4 2'
_cell_length_a 5.3015
_cell_length_b 5.3015
_cell_length_c 5.3448
_cell_angle_alpha 90.00
_cell_angle_beta 90.00
_cell_angle_gamma 90.00
loop_
_atom_site_label
_atom_site_fract_x
_atom_site_fract_y
_atom_site_fract_z
La1 0.0000 0.0000 0.0000
Tl1 0.0000 0.5000 0.5000
H1 0.5000 0.5000 0.0000
Os1 0.0000 0.0000 0.5000